VASP calculation (PBE) on NaSr12Ca6 after structural relaxation.

Computed properties:
Total magnetization (μB per cell): 0.00
V (Å³/cell): 972.5
Total energy (eV/atom): -1.715
Space group: R-3, No. 148
Formation enthalpy at 0 K (meV per atom): 49

Cell: 9.9092 9.9092 9.9092 Å, 88.90 88.90 88.90°
Sites, in units of the cell vectors:
Na 0.0000 0.0000 0.0000
Sr 0.0368 0.3755 0.1512
Sr 0.1512 0.0368 0.3755
Sr 0.1943 0.5706 0.4761
Sr 0.3755 0.1512 0.0368
Sr 0.4294 0.5239 0.8057
Sr 0.4761 0.1943 0.5706
Sr 0.5239 0.8057 0.4294
Sr 0.5706 0.4761 0.1943
Sr 0.6245 0.8488 0.9632
Sr 0.8057 0.4294 0.5239
Sr 0.8488 0.9632 0.6245
Sr 0.9632 0.6245 0.8488
Ca 0.1091 0.2584 0.7400
Ca 0.2584 0.7400 0.1091
Ca 0.2600 0.8909 0.7416
Ca 0.7400 0.1091 0.2584
Ca 0.7416 0.2600 0.8909
Ca 0.8909 0.7416 0.2600

=====

VASP calculation (PBE) on Na2Sr4Ca after structural relaxation.

Computed properties:
Total magnetization (μB per cell): 0.00
V (Å³/cell): 684.1
Total energy (eV/atom): -1.561
Space group: C2/m, No. 12
Formation enthalpy at 0 K (meV per atom): 62
E above lowest polymorph (meV per atom): 0

Cell: 13.4744 4.0829 12.7236 Å, 90.00 102.23 90.00°
Sites, in units of the cell vectors:
Na 0.1625 0.0000 0.0536
Na 0.3375 0.5000 0.9464
Na 0.6625 0.5000 0.0536
Na 0.8375 0.0000 0.9464
Sr 0.0232 0.5000 0.7986
Sr 0.2422 0.0000 0.3569
Sr 0.2578 0.5000 0.6431
Sr 0.4768 0.0000 0.2014
Sr 0.5232 0.0000 0.7986
Sr 0.7422 0.5000 0.3569
Sr 0.7578 0.0000 0.6431
Sr 0.9768 0.5000 0.2014
Ca 0.0000 0.0000 0.5000
Ca 0.5000 0.5000 0.5000

=====

VASP calculation (PBE) on NaSr2Ca8 after structural relaxation.

Computed properties:
Total magnetization (μB per cell): 0.00
V (Å³/cell): 496.2
Total energy (eV/atom): -1.797
Space group: P4/mmm, No. 123
Formation enthalpy at 0 K (meV per atom): 85
E above lowest polymorph (meV per atom): 50

Cell: 5.7421 5.7421 15.0505 Å, 90.00 90.00 90.00°
Sites, in units of the cell vectors:
Na 0.0000 0.0000 0.0000
Sr 0.0000 0.0000 0.3179
Sr 0.0000 0.0000 0.6821
Ca 0.0000 0.5000 0.1372
Ca 0.0000 0.5000 0.5000
Ca 0.0000 0.5000 0.8628
Ca 0.5000 0.0000 0.1372
Ca 0.5000 0.0000 0.5000
Ca 0.5000 0.0000 0.8628
Ca 0.5000 0.5000 0.3204
Ca 0.5000 0.5000 0.6796

=====

VASP calculation (PBE) on NaSr4Ca2 after structural relaxation.

Computed properties:
Total magnetization (μB per cell): 0.00
V (Å³/cell): 344.8
Total energy (eV/atom): -1.687
Space group: R-3m, No. 166
Formation enthalpy at 0 K (meV per atom): 35
E above lowest polymorph (meV per atom): 0

Cell: 23.3584 23.3584 23.3584 Å, 10.17 10.17 10.17°
Sites, in units of the cell vectors:
Na 0.0000 0.0000 0.0000
Sr 0.0967 0.0967 0.0967
Sr 0.3799 0.3799 0.3799
Sr 0.6201 0.6201 0.6201
Sr 0.9033 0.9033 0.9033
Ca 0.1890 0.1890 0.1890
Ca 0.8110 0.8110 0.8110

=====

VASP calculation (PBE) on Na4Sr3Ca2 after structural relaxation.

Computed properties:
Total magnetization (μB per cell): 0.00
V (Å³/cell): 440.9
Total energy (eV/atom): -1.445
Space group: Immm, No. 71
Formation enthalpy at 0 K (meV per atom): 147

Cell: 10.3649 10.3649 10.3649 Å, 143.34 138.05 56.91°
Sites, in units of the cell vectors:
Na 0.0508 0.8007 0.2501
Na 0.4494 0.1993 0.2501
Na 0.5506 0.8007 0.7499
Na 0.9492 0.1993 0.7499
Sr 0.0000 0.5000 0.5000
Sr 0.3914 0.3914 0.0000
Sr 0.6086 0.6086 0.0000
Ca 0.2623 0.0000 0.2623
Ca 0.7377 0.0000 0.7377

=====

VASP calculation (PBE) on NaSr4Ca after structural relaxation.

Computed properties:
Total magnetization (μB per cell): 0.00
V (Å³/cell): 296.7
Total energy (eV/atom): -1.663
Space group: P4/mmm, No. 123
Formation enthalpy at 0 K (meV per atom): 12
E above lowest polymorph (meV per atom): 0

Cell: 4.5192 4.5192 14.5263 Å, 90.00 90.00 90.00°
Sites, in units of the cell vectors:
Na 0.0000 0.0000 0.0000
Sr 0.0000 0.0000 0.3396
Sr 0.0000 0.0000 0.6604
Sr 0.5000 0.5000 0.1537
Sr 0.5000 0.5000 0.8463
Ca 0.5000 0.5000 0.5000